No. 1
# BaVTcSe2

Crystalline BaVTcSe2 at its relaxed geometry (PBE-GGA, Alexandria).

Geometry as extended XYZ:
```
5
Lattice="5.167 0.000 0.000 0.000 4.481 0.000 0.000 0.000 5.167" Properties=species:S:1:pos:R:3 pbc="T T T"
V 0.000 0.000 0.000
Ba 2.584 2.240 2.584
Se 0.000 0.000 2.584
Se 2.584 0.000 0.000
Tc 0.000 2.240 0.000
```

The calculation puts the energy relative to the elements, uncorrected at -211.5 meV/atom.



No. 2
# Mn2Ge3S3

Crystalline Mn2Ge3S3 at its relaxed geometry (PBE-GGA, Alexandria).

Geometry as extended XYZ:
```
32
Lattice="8.274 0.003 -0.014 0.014 8.274 -0.014 -0.003 -0.003 8.274" Properties=species:S:1:pos:R:3 pbc="T T T"
Mn 6.326 2.119 6.037
Mn 1.959 6.155 2.209
Mn 2.122 2.222 1.942
Mn 6.163 6.052 6.304
Mn 2.231 6.323 6.141
Mn 6.284 6.276 1.979
Mn 6.054 1.951 2.105
Mn 2.001 1.998 6.267
Ge 7.048 2.739 0.006
Ge 1.237 5.535 8.240
Ge 2.898 1.404 4.093
Ge 1.410 4.172 5.367
Ge 4.176 2.897 6.857
Ge 2.750 8.252 1.212
Ge 5.386 6.870 4.153
Ge 6.875 4.102 2.879
Ge 0.024 1.230 2.734
Ge 8.261 7.044 5.512
Ge 5.535 0.022 7.034
Ge 4.109 5.377 1.389
S 7.081 5.377 0.033
S 7.048 4.161 5.325
S 0.054 1.200 5.373
S 5.388 8.221 1.179
S 8.231 7.074 2.873
S 1.236 4.112 2.921
S 4.119 5.343 7.028
S 2.940 7.043 4.096
S 5.344 1.231 4.150
S 2.897 0.053 7.067
S 4.165 2.931 1.219
S 1.203 2.897 8.213
```

The calculation puts the energy relative to the elements, uncorrected at -239.8 meV/atom.



No. 3
# Ti2ZnSb2

Crystalline Ti2ZnSb2 at its relaxed geometry (PBE-GGA, Alexandria).

Geometry as extended XYZ:
```
10
Lattice="7.574 0.000 0.000 0.000 7.574 0.000 0.000 0.000 3.568" Properties=species:S:1:pos:R:3 pbc="T T T"
Sb 2.587 6.374 0.000
Sb 6.374 4.987 0.000
Sb 4.987 1.200 0.000
Sb 1.200 2.587 0.000
Zn 0.000 0.000 0.000
Zn 3.787 3.787 0.000
Ti 1.004 4.791 1.784
Ti 4.791 6.570 1.784
Ti 6.570 2.783 1.784
Ti 2.783 1.004 1.784
```

The calculation puts the energy relative to the elements, uncorrected at -146.4 meV/atom.



No. 4
# PrZnIn

Crystalline PrZnIn at its relaxed geometry (PBE-GGA, Alexandria).

Geometry as extended XYZ:
```
3
Lattice="-2.105 1.336 -2.547 -2.853 -1.376 1.636 1.868 4.979 3.562" Properties=species:S:1:pos:R:3 pbc="T T T"
Pr -3.078 4.842 2.589
Zn -0.391 3.178 1.990
In -2.710 1.860 0.721
```

As for the energy of formation from the pure elements: -0.2706 eV/atom.



No. 5
# MgZnSe2

Crystalline MgZnSe2 at its relaxed geometry (PBE-GGA, Alexandria).

Geometry as extended XYZ:
```
4
Lattice="3.527 -2.036 0.000 0.000 4.072 0.000 0.000 0.000 6.731" Properties=species:S:1:pos:R:3 pbc="T T T"
Zn 0.000 0.000 6.302
Mg 1.176 2.036 2.856
Se 1.176 2.036 5.506
Se 2.351 0.000 1.859
```

The calculation puts the energy relative to the elements, uncorrected at -819.6 meV/atom.



No. 6
# PrY2ThS4

Crystalline PrY2ThS4 at its relaxed geometry (PBE-GGA, Alexandria).

Geometry as extended XYZ:
```
8
Lattice="3.952 0.000 0.000 0.000 7.010 -0.192 0.000 2.415 6.442" Properties=species:S:1:pos:R:3 pbc="T T T"
Pr 1.976 3.505 -0.096
Y 0.000 2.415 6.442
Y 1.976 1.208 3.221
Th 0.000 4.713 3.125
S 0.000 7.162 4.635
S 3.952 2.264 1.615
S 1.976 5.956 1.445
S 1.976 3.469 4.805
```

The calculation puts the energy relative to the elements, uncorrected at -1956.0 meV/atom.



No. 7
# Cs3TaPd

Crystalline Cs3TaPd at its relaxed geometry (PBE-GGA, Alexandria).

Geometry as extended XYZ:
```
5
Lattice="-3.756 5.184 -1.285 -5.331 -3.733 0.525 -0.318 1.351 6.380" Properties=species:S:1:pos:R:3 pbc="T T T"
Cs -2.666 -1.866 0.262
Cs -0.159 0.676 3.190
Cs -1.878 2.592 -0.643
Pd 0.000 0.000 0.000
Ta -4.703 1.401 2.810
```

As for the energy of formation from the pure elements: 1.3041 eV/atom.



No. 8
# ZrTaP2Cl

Crystalline ZrTaP2Cl at its relaxed geometry (PBE-GGA, Alexandria).

Geometry as extended XYZ:
```
5
Lattice="-1.351 -4.653 1.377 2.159 0.704 4.496 -4.093 1.691 1.701" Properties=species:S:1:pos:R:3 pbc="T T T"
P 1.080 0.352 2.248
P -0.675 -2.327 0.689
Cl -2.047 0.846 0.850
Zr 0.000 0.000 0.000
Ta -1.642 -1.129 3.787
```

The calculation puts the energy relative to the elements, uncorrected at 637.2 meV/atom.



No. 9
# CaBiAs3

Crystalline CaBiAs3 at its relaxed geometry (PBE-GGA, Alexandria).

Geometry as extended XYZ:
```
5
Lattice="5.446 0.000 0.000 0.000 5.446 0.000 0.000 0.000 5.446" Properties=species:S:1:pos:R:3 pbc="T T T"
As 0.000 2.723 0.000
As 0.000 0.000 2.723
As 2.723 0.000 0.000
Ca 2.723 2.723 2.723
Bi 0.000 0.000 0.000
```

As for the energy of formation from the pure elements: 0.4340 eV/atom.



No. 10
# LiTe2Pb2

Crystalline LiTe2Pb2 at its relaxed geometry (PBE-GGA, Alexandria).

Geometry as extended XYZ:
```
5
Lattice="-4.664 -1.073 -3.761 0.197 -5.910 1.442 -5.367 -2.703 2.501" Properties=species:S:1:pos:R:3 pbc="T T T"
Pb -3.236 -3.239 0.012
Pb -6.599 -6.447 0.171
Te -6.133 -3.634 -1.209
Te -3.702 -6.052 1.392
Li 0.000 0.000 0.000
```

The calculation puts the energy relative to the elements, uncorrected at -212.4 meV/atom.



No. 11
# InTc2SbI

Crystalline InTc2SbI at its relaxed geometry (PBE-GGA, Alexandria).

Geometry as extended XYZ:
```
5
Lattice="-3.955 -1.974 2.763 -0.748 -3.991 -3.923 3.325 -3.114 2.535" Properties=species:S:1:pos:R:3 pbc="T T T"
I -0.374 -1.996 -1.961
Sb -0.690 -4.540 0.688
Tc 1.662 -1.557 1.267
Tc -1.978 -0.987 1.382
In 0.000 0.000 0.000
```

The calculation puts the energy relative to the elements, uncorrected at 1866.2 meV/atom.



No. 12
# HfZr2PaC4

Crystalline HfZr2PaC4 at its relaxed geometry (PBE-GGA, Alexandria).

Geometry as extended XYZ:
```
8
Lattice="-1.476 1.660 2.576 -4.632 -3.649 -0.302 0.945 -4.632 3.527" Properties=species:S:1:pos:R:3 pbc="T T T"
Hf -1.843 -4.141 1.613
Zr 0.945 -4.632 3.527
Zr -0.266 -1.486 3.051
Pa -2.109 -5.627 4.664
C -2.791 -6.190 2.390
C -2.372 -0.432 3.411
C -3.961 -3.077 1.960
C -1.202 -3.545 3.841
```

As for the energy of formation from the pure elements: -0.7149 eV/atom.